V2GaHgO8: optimized geometry, GGA+U.

Results
Volume (A^3/atom): 14.189
Total magnetic moment (μB/cell): 0.77
Total energy (eV/atom): -6.18

Unit cell a=5.6629 b=5.6629 c=6.1309 alpha=90.00 beta=90.00 gamma=120.00
With the nearest neighbours (Å) after each atom.
Space group P-3m1 (No. 164)
Symmetry-distinct sites (fractional):
1 V 0.3333 0.6667 0.2821 [2 per cell]  4 O 1.65-1.79
2 Ga 0.0000 0.0000 0.0000 [1 per cell]  6 O 1.98
3 Hg 0.0000 0.0000 0.5000 [1 per cell]  6 O 2.40
4 O 0.1584 0.3169 0.2006 [6 per cell]  1 V 1.79, 1 Ga 1.98
5 O 0.3333 0.6667 0.5504 [2 per cell]  1 V 1.65